DFT (PBE) results for Rb2RhO2 after structural relaxation.

Results
formation energy from raw total energies	-0.8504	eV/atom
density	5.0	g/cm³
total DFT energy (no corrections)	-4.6910	eV/atom
DOS(E_F)	7.0	states/eV/cell

a = 6.0225 Å, b = 10.3766 Å, c = 3.2292 Å
α = 90.00°, β = 90.00°, γ = 90.00°
Last column: nearest neighbours and their distance in Å.
Element x y z (fractional)
Rb1 0.0142 0.1730 0.0000  4 O 2.86-2.90
Rb2 0.4858 0.6730 0.0000  4 O 2.86-2.90
Rb3 0.5142 0.3270 0.0000  4 O 2.86-2.90
Rb4 0.9858 0.8270 0.0000  4 O 2.86-2.90
Rh1 0.0000 0.5000 0.0000  4 O 2.07
Rh2 0.5000 0.0000 0.0000  4 O 2.07
O1 0.1109 0.6070 0.5000  2 Rh 2.07
O2 0.3891 0.1070 0.5000  2 Rh 2.07
O3 0.6109 0.8930 0.5000  2 Rh 2.07
O4 0.8891 0.3930 0.5000  2 Rh 2.07